NaHSeO4 at its PBEsol-relaxed geometry, computed with meta-GGA SCAN.

## Properties
Raw total energy   -8.69 eV/atom
Total moment   0.00 μB/cell
Symmetry   P2_1/c (14)

```
NaHSeO4
1.0
5.232 0.000 -0.453
0.000 7.980 0.000
-1.154 0.000 8.854
O H Se Na
16 4 4 4
Cartesian
0.409 3.099 3.937 O
3.765 7.484 5.240 O
1.726 4.486 1.039 O
4.190 5.246 7.406 O
1.927 1.256 5.196 O
1.515 6.018 5.779 O
-0.112 2.734 0.995 O
2.563 1.962 2.622 O
-0.630 2.028 7.276 O
1.630 7.089 0.264 O
0.313 0.496 3.162 O
4.708 5.952 1.126 O
2.151 6.724 3.205 O
3.669 4.881 4.464 O
2.448 0.891 8.138 O
2.352 3.494 7.362 O
2.991 4.324 7.389 H
3.126 0.334 5.213 H
1.087 3.656 1.012 H
0.952 7.646 3.188 H
0.685 5.776 0.479 Se
1.354 1.786 3.722 Se
2.724 6.194 4.679 Se
3.393 2.204 7.922 Se
0.262 3.995 6.158 Na
0.623 0.005 6.896 Na
3.455 7.975 1.505 Na
3.816 3.985 2.243 Na
```

Na2Zn3H4Se4O14 at its PBEsol-relaxed geometry, computed with meta-GGA SCAN.

## Properties
Raw total energy   -9.80 eV/atom
Total moment   0.00 μB/cell
Symmetry   C2/c (15)

```
Na2Zn3H4Se4O14
1.0
6.578 0.000 0.000
-3.289 7.810 -0.060
0.000 -4.401 14.126
Se O H Na Zn
8 28 8 4 6
Cartesian
2.105 4.438 5.444 Se
0.832 2.281 10.167 Se
-2.105 2.238 12.507 Se
4.122 -1.072 10.962 Se
1.184 -1.029 8.621 Se
-0.832 4.481 3.104 Se
5.395 1.172 1.558 Se
2.457 1.129 3.899 Se
3.871 0.579 4.713 O
0.582 5.030 2.290 O
0.945 -2.707 9.146 O
3.731 4.230 5.847 O
-0.590 5.538 4.462 O
2.700 0.072 2.541 O
0.442 1.379 1.156 O
3.924 1.205 8.519 O
-0.442 -0.821 8.219 O
-0.634 2.204 5.547 O
2.344 6.117 4.919 O
-2.147 5.230 2.294 O
2.847 2.030 12.910 O
0.634 0.004 12.610 O
-0.582 2.830 9.353 O
1.299 4.652 6.938 O
1.991 -1.243 7.128 O
3.879 -2.129 9.604 O
2.655 3.405 1.456 O
1.142 0.379 4.709 O
2.708 -1.621 11.776 O
4.588 0.958 0.065 O
-2.344 3.916 11.982 O
2.147 3.030 9.357 O
-1.299 2.451 14.001 O
5.436 -1.821 11.772 O
0.590 3.338 11.525 O
5.633 -0.507 2.083 O
1.476 -0.412 12.289 H
-0.060 -0.672 12.370 H
1.813 3.821 1.777 H
3.349 4.081 1.696 H
0.060 1.529 5.307 H
3.230 1.880 8.759 H
-1.813 1.621 8.840 H
5.102 1.788 5.226 H
4.223 -0.420 6.918 Na
0.934 6.030 0.085 Na
2.356 -2.621 13.981 Na
-0.934 3.829 7.148 Na
2.221 -3.301 10.594 Zn
1.063 -1.502 5.398 Zn
4.357 -1.100 3.531 Zn
2.226 4.911 8.668 Zn
-2.226 7.112 1.605 Zn
5.515 -3.702 12.461 Zn
```